1.
## Ca2CeTmSe4 (PBE-GGA)

Data for an optimized crystal structure of Ca2CeTmSe4.

Cell lengths 7.1704, 4.1288, 7.2830 Å; angles 90.00, 109.04, 90.00 degrees
Space group P2/m (No. 10)
Unique sites:
1 Ca 0.0000 0.0000 0.0000
2 Ca 0.5000 0.5000 0.0000
3 Ce 0.0000 0.5000 0.5000
4 Tm 0.5000 0.0000 0.5000
5 Se 0.2597 0.0000 0.7520
6 Se 0.2604 0.5000 0.2552

Results
DOS(E_F): 8.0 states/eV per cell
Crystal system: monoclinic
Energy relative to the elements, uncorrected: -1840 meV per atom

2.
## NaTl2BiO4 (PBE-GGA)

Data for an optimized crystal structure of NaTl2BiO4.

Cell lengths 5.4386, 5.8671, 6.0391 Å; angles 111.08, 114.93, 90.35 degrees
Space group P1 (No. 1)
Unique sites:
1 Na 0.0000 0.0000 0.0000
2 Tl 0.2254 0.7637 0.5112
3 Tl 0.4982 0.5255 0.0085
4 Bi 0.7230 0.2567 0.5108
5 O 0.1294 0.2212 0.7681
6 O 0.4166 0.8661 0.2390
7 O 0.6688 0.6253 0.7730
8 O 0.8035 0.3276 0.2190

Results
Crystal system: triclinic
Energy relative to the elements, uncorrected: -916 meV per atom

3.
## CaCo6Ge6 (PBE-GGA)

Data for an optimized crystal structure of CaCo6Ge6.

Cell lengths 5.1033, 7.8176, 8.8248 Å; angles 90.00, 90.00, 90.00 degrees
Space group Immm (No. 71)
Unique sites:
1 Ca 0.0000 0.0000 0.0000
2 Co 0.0000 0.2468 0.5000
3 Co 0.2500 0.2500 0.2500
4 Ge 0.0000 0.0000 0.3358
5 Ge 0.0000 0.3437 0.0000
6 Ge 0.0000 0.5000 0.3306

Results
DOS(E_F): 17.6 states/eV per cell
Formation energy from the elements: -0.295 eV/atom
Crystal system: orthorhombic

4.
## LiHo3Sc2S6 (PBE-GGA)

Data for an optimized crystal structure of LiHo3Sc2S6.

Cell lengths 6.5751, 11.4063, 6.5471 Å; angles 90.00, 109.69, 90.00 degrees
Space group C2/m (No. 12)
Unique sites:
1 Li 0.0000 0.0000 0.0000
2 Ho 0.0000 0.1648 0.5000
3 Ho 0.0000 0.5000 0.5000
4 Sc 0.0000 0.3346 0.0000
5 S 0.2441 0.1657 0.2368
6 S 0.2479 0.5000 0.2326

Results
DOS(E_F): 10.4 states/eV per cell
Crystal system: monoclinic
Energy relative to the elements, uncorrected: -1908 meV per atom

5.
## Cs3PmAg2Cl8 (PBE-GGA)

Data for an optimized crystal structure of Cs3PmAg2Cl8.

Cell lengths 7.6311, 7.6311, 10.2117 Å; angles 90.00, 90.00, 120.00 degrees
Space group P-3m1 (No. 164)
Unique sites:
1 Cs 0.0000 0.0000 0.0000
2 Cs 0.3333 0.6667 0.6364
3 Pm 0.0000 0.0000 0.5000
4 Ag 0.3333 0.6667 0.1922
5 Cl 0.1652 0.3305 0.3426
6 Cl 0.3333 0.6667 0.9563

Results
DOS(E_F): 0.0 states/eV per cell
Crystal system: trigonal
Energy relative to the elements, uncorrected: -1625 meV per atom

6.
## DyBi4S7 (PBE-GGA)

Data for an optimized crystal structure of DyBi4S7.

Cell lengths 13.6626, 4.0248, 12.1955 Å; angles 90.00, 107.49, 90.00 degrees
Space group Cm (No. 8)
Unique sites:
1 Dy 0.0000 0.0000 0.0000
2 Bi 0.1037 0.0000 0.4369
3 Bi 0.2431 0.0000 0.8751
4 Bi 0.2862 0.5000 0.2595
5 Bi 0.4190 0.0000 0.5998
6 S 0.0623 0.0000 0.6483
7 S 0.1191 0.5000 0.9526
8 S 0.1433 0.0000 0.2216
9 S 0.2640 0.5000 0.4737
10 S 0.3452 0.5000 0.7971
11 S 0.3953 0.0000 0.0728
12 S 0.4432 0.0000 0.3862

Results
DOS(E_F): 6.4 states/eV per cell
Crystal system: monoclinic
Energy relative to the elements, uncorrected: -648 meV per atom

7.
## CsNaB2P (PBE-GGA)

Data for an optimized crystal structure of CsNaB2P.

Cell lengths 5.0336, 5.0336, 5.6507 Å; angles 90.00, 90.00, 90.00 degrees
Space group P4/mmm (No. 123)
Unique sites:
1 Cs 0.0000 0.0000 0.0000
2 Na 0.0000 0.0000 0.5000
3 B 0.0000 0.5000 0.0000
4 P 0.5000 0.5000 0.5000

Results
DOS(E_F): 2.6 states/eV per cell
Formation energy from the elements: 2.588 eV/atom
Crystal system: tetragonal

8.
## Ca5Si2Hg (PBE-GGA)

Data for an optimized crystal structure of Ca5Si2Hg.

Cell lengths 7.7151, 7.7151, 15.3131 Å; angles 90.00, 90.00, 90.00 degrees
Space group I4/mcm (No. 140)
Unique sites:
1 Ca 0.0000 0.0000 0.0000
2 Ca 0.1753 0.3247 0.1374
3 Si 0.1119 0.3881 0.5000
4 Hg 0.0000 0.0000 0.2500

Results
DOS(E_F): 17.9 states/eV per cell
Crystal system: tetragonal
Energy relative to the elements, uncorrected: -483 meV per atom

9.
## Ac2Pd4Pb (PBE-GGA)

Data for an optimized crystal structure of Ac2Pd4Pb.

Cell lengths 5.0913, 5.0913, 15.4604 Å; angles 90.00, 90.00, 90.00 degrees
Space group I4/mmm (No. 139)
Unique sites:
1 Ac 0.0000 0.0000 0.1390
2 Pd 0.0000 0.0000 0.3221
3 Pd 0.0000 0.5000 0.0000
4 Pb 0.0000 0.0000 0.5000

Results
DOS(E_F): 4.5 states/eV per cell
Formation energy from the elements: -0.299 eV/atom
Crystal system: tetragonal

10.
## Y8Co2Au (PBE-GGA)

Data for an optimized crystal structure of Y8Co2Au.

Cell lengths 8.4179, 12.7336, 5.6568 Å; angles 90.00, 105.49, 90.00 degrees
Space group Cm (No. 8)
Unique sites:
1 Y 0.0000 0.0000 0.0000
2 Y 0.0824 0.3676 0.7800
3 Y 0.1746 0.1320 0.6020
4 Y 0.2506 0.5000 0.3839
5 Y 0.3776 0.2345 0.1930
6 Co 0.3772 0.3059 0.6910
7 Au 0.3738 0.0000 0.2874

Results
DOS(E_F): 28.5 states/eV per cell
Formation energy from the elements: -0.148 eV/atom
Crystal system: monoclinic

11.
## Ce6IrOs (PBE-GGA)

Data for an optimized crystal structure of Ce6IrOs.

Cell lengths 6.7589, 10.7833, 6.7579 Å; angles 90.00, 109.36, 90.00 degrees
Space group C2/m (No. 12)
Unique sites:
1 Ce 0.2448 0.1847 0.2491
2 Ce 0.2489 0.5000 0.2466
3 Ir 0.0000 0.5000 0.5000
4 Os 0.0000 0.0000 0.0000

Results
DOS(E_F): 54.6 states/eV per cell
Formation energy from the elements: -0.104 eV/atom
E above lowest polymorph: 0.0 meV per atom
Crystal system: monoclinic

12.
## Ba2Tl2In (PBE-GGA)

Data for an optimized crystal structure of Ba2Tl2In.

Cell lengths 12.8706, 5.1508, 12.9186 Å; angles 90.00, 117.80, 90.00 degrees
Space group C2/m (No. 12)
Unique sites:
1 Ba 0.0073 0.0000 0.3360
2 Ba 0.1861 0.0000 0.1110
3 Tl 0.0273 0.5000 0.8871
4 Tl 0.1492 0.5000 0.5507
5 In 0.2141 0.5000 0.3393

Results
DOS(E_F): 14.9 states/eV per cell
Formation energy from the elements: -0.408 eV/atom
E above lowest polymorph: 0.0 meV per atom
Crystal system: monoclinic

13.
## MgMn3Al (PBE-GGA)

Data for an optimized crystal structure of MgMn3Al.

Cell lengths 4.5778, 4.5778, 4.5778 Å; angles 90.00, 90.00, 90.00 degrees
Space group Pm-3m (No. 221)
Unique sites:
1 Mg 0.0000 0.0000 0.0000
2 Mn 0.0000 0.5000 0.5000
3 Al 0.5000 0.5000 0.5000

Results
DOS(E_F): 4.6 states/eV per cell
Formation energy from the elements: 0.801 eV/atom
E above lowest polymorph: 0.0 meV per atom
Crystal system: cubic

14.
## NiTeRu2 (PBE-GGA)

Data for an optimized crystal structure of NiTeRu2.

Cell lengths 6.2467, 6.2467, 6.2467 Å; angles 90.00, 90.00, 90.00 degrees
Space group F-43m (No. 216)
Unique sites:
1 Ni 0.0000 0.0000 0.0000
2 Te 0.2500 0.2500 0.7500
3 Ru 0.0000 0.0000 0.5000
4 Ru 0.2500 0.2500 0.2500

Results
DOS(E_F): 22.9 states/eV per cell
Crystal system: cubic
Energy relative to the elements, uncorrected: 435 meV per atom

15.
## Pm2DyThSb5 (PBE-GGA)

Data for an optimized crystal structure of Pm2DyThSb5.

Cell lengths 5.2478, 5.2478, 11.8697 Å; angles 90.00, 90.00, 90.00 degrees
Space group P4/mmm (No. 123)
Unique sites:
1 Pm 0.0000 0.0000 0.2144
2 Dy 0.5000 0.5000 0.0000
3 Th 0.5000 0.5000 0.5000
4 Sb 0.0000 0.0000 0.5000
5 Sb 0.0000 0.5000 0.0000
6 Sb 0.5000 0.5000 0.2508

Results
DOS(E_F): 3.1 states/eV per cell
Crystal system: tetragonal
Energy relative to the elements, uncorrected: -243 meV per atom

16.
## Pa4TcSeS2 (PBE-GGA)

Data for an optimized crystal structure of Pa4TcSeS2.

Cell lengths 6.9127, 3.8359, 7.0475 Å; angles 90.00, 107.54, 90.00 degrees
Space group P2/m (No. 10)
Unique sites:
1 Pa 0.2409 0.0000 0.2330
2 Pa 0.2517 0.5000 0.7647
3 Tc 0.5000 0.0000 0.0000
4 Se 0.5000 0.5000 0.5000
5 S 0.0000 0.0000 0.5000
6 S 0.0000 0.5000 0.0000

Results
DOS(E_F): 10.8 states/eV per cell
Crystal system: monoclinic
Energy relative to the elements, uncorrected: -1089 meV per atom

17.
## Be5Cr (PBE-GGA)

Data for an optimized crystal structure of Be5Cr.

Cell lengths 3.2639, 9.4941, 3.3187 Å; angles 90.00, 90.00, 90.00 degrees
Space group Cmmm (No. 65)
Unique sites:
1 Be 0.0000 0.0000 0.0000
2 Be 0.0000 0.1799 0.5000
3 Be 0.0000 0.3346 0.0000
4 Cr 0.0000 0.5000 0.5000

Results
DOS(E_F): 3.1 states/eV per cell
Formation energy from the elements: -0.026 eV/atom
Crystal system: orthorhombic

18.
## Rb7Te2F2 (PBE-GGA)

Data for an optimized crystal structure of Rb7Te2F2.

Cell lengths 11.1765, 14.6777, 7.5866 Å; angles 90.00, 101.66, 90.00 degrees
Space group C2/m (No. 12)
Unique sites:
1 Rb 0.0000 0.0000 0.0000
2 Rb 0.1163 0.5000 0.7722
3 Rb 0.2372 0.1548 0.7102
4 Te 0.0000 0.3069 0.5000
5 F 0.2217 0.0000 0.9088

Results
DOS(E_F): 5.3 states/eV per cell
Crystal system: monoclinic
Energy relative to the elements, uncorrected: -1397 meV per atom

19.
## ScAlW (PBE-GGA)

Data for an optimized crystal structure of ScAlW.

Cell lengths 5.2640, 5.3592, 7.7344 Å; angles 90.00, 90.00, 90.00 degrees
Space group Imma (No. 74)
Unique sites:
1 Sc 0.0000 0.2500 0.1174
2 Al 0.0000 0.0000 0.5000
3 W 0.2500 0.2500 0.7500

Results
DOS(E_F): 7.2 states/eV per cell
Formation energy from the elements: -0.228 eV/atom
E above lowest polymorph: 0.0 meV per atom
Crystal system: orthorhombic

20.
## LiMg4Sn (PBE-GGA)

Data for an optimized crystal structure of LiMg4Sn.

Cell lengths 6.7029, 6.7925, 6.7634 Å; angles 90.00, 92.04, 90.00 degrees
Space group C2/m (No. 12)
Unique sites:
1 Li 0.0000 0.0000 0.0000
2 Mg 0.2485 0.2560 0.2410
3 Sn 0.0000 0.5000 0.5000

Results
DOS(E_F): 5.0 states/eV per cell
Formation energy from the elements: 0.051 eV/atom
E above lowest polymorph: 24.6 meV per atom
Crystal system: monoclinic

21.
## Rb2TeIBr6 (PBE-GGA)

Data for an optimized crystal structure of Rb2TeIBr6.

Cell lengths 8.2784, 8.2784, 12.5232 Å; angles 90.00, 90.00, 90.00 degrees
Space group I4/mmm (No. 139)
Unique sites:
1 Rb 0.0000 0.5000 0.2500
2 Te 0.0000 0.0000 0.0000
3 I 0.0000 0.0000 0.5000
4 Br 0.0000 0.0000 0.2193
5 Br 0.2379 0.2379 0.0000

Results
DOS(E_F): 4.0 states/eV per cell
E above lowest polymorph: 3.0 meV per atom
Crystal system: tetragonal
Energy relative to the elements, uncorrected: -817 meV per atom

22.
## TmMn3Ga3 (PBE-GGA)

Data for an optimized crystal structure of TmMn3Ga3.

Cell lengths 6.6826, 6.6826, 6.6826 Å; angles 90.00, 90.00, 90.00 degrees
Space group Pm-3n (No. 223)
Unique sites:
1 Tm 0.0000 0.0000 0.0000
2 Mn 0.0000 0.2500 0.5000
3 Ga 0.0000 0.5000 0.2500

Results
DOS(E_F): 5.6 states/eV per cell
Formation energy from the elements: 0.492 eV/atom
Crystal system: cubic

Result set for calculated volume: 203.8; 160.2; 176.0; 231.2; 515.0; 319.8; 143.2; 227.9; 200.4; 292.2; 232.3; 189.4; 95.9; 60.9; 326.9; 178.2; 51.4; 609.4; 54.5; 153.9; 429.1; 149.2 Å³/f.u., one per record in the order listed.